Entry 1:
Computed, not measured: crystalline LiSmInSn at its relaxed geometry at the PBE level of DFT.

Formation energy in eV/f.u.: -1.65
E_tot in eV per atom: -3.756
Space-group type: F-43m
Calculated volume in Å³/cell: 101

Unit cell a=5.219 b=5.219 c=5.219 alpha=60.00 beta=60.00 gamma=60.00
Fractional positions:
In (0.750, 0.750, 0.750)
Sm (0.000, 0.000, 0.000)
Sn (0.250, 0.250, 0.250)
Li (0.500, 0.500, 0.500)


Entry 2:
Computed, not measured: crystalline Sr2Li2SmIn5 at its relaxed geometry at the PBE level of DFT.

Formation energy in eV/f.u.: -3.93
E_tot in eV per atom: -2.953
Space-group type: P4/mbm
Calculated volume in Å³/cell: 532

Unit cell a=4.652 b=10.694 c=10.694 alpha=90.00 beta=90.00 gamma=90.00
Fractional positions:
Sm (0.000, 0.500, 0.500)
In (0.500, 0.060, 0.788)
Sr (0.000, 0.180, 0.320)
Li (0.000, 0.114, 0.614)
In (0.500, 0.712, 0.440)
Sr (0.000, 0.820, 0.680)
In (0.500, 0.788, 0.940)
In (0.500, 0.212, 0.060)
Li (0.000, 0.614, 0.886)
In (0.500, 0.500, 0.000)
Sr (0.000, 0.680, 0.180)
In (0.500, 0.288, 0.560)
In (0.500, 0.000, 0.500)
Sm (0.000, 0.000, 0.000)
Li (0.000, 0.386, 0.114)
In (0.500, 0.940, 0.212)
Li (0.000, 0.886, 0.386)
In (0.500, 0.440, 0.288)
Sr (0.000, 0.320, 0.820)
In (0.500, 0.560, 0.712)


Entry 3:
Computed, not measured: crystalline SrLiSmIn at its relaxed geometry at the PBE level of DFT.

Formation energy in eV/f.u.: -0.83
E_tot in eV per atom: -2.971
Space-group type: F-43m
Calculated volume in Å³/cell: 122

Unit cell a=5.567 b=5.567 c=5.567 alpha=60.00 beta=60.00 gamma=60.00
Fractional positions:
Li (0.000, 0.000, 0.000)
Sm (0.750, 0.750, 0.750)
Sr (0.250, 0.250, 0.250)
In (0.500, 0.500, 0.500)


Entry 4:
Computed, not measured: crystalline SrLi2Sm2In2 at its relaxed geometry at the PBE level of DFT.

Formation energy in eV/f.u.: -1.61
E_tot in eV per atom: -3.148
Space-group type: R-3m
Calculated volume in Å³/cell: 206

Unit cell a=4.996 b=4.996 c=9.960 alpha=75.47 beta=75.47 gamma=60.00
Fractional positions:
Sm (0.869, 0.869, 0.393)
Sr (0.000, 0.000, 0.000)
Sm (0.131, 0.131, 0.607)
In (0.748, 0.748, 0.756)
In (0.252, 0.252, 0.244)
Li (0.410, 0.410, 0.771)
Li (0.590, 0.590, 0.229)


Entry 5:
Computed, not measured: crystalline Li2TbSm2In5 at its relaxed geometry at the PBE level of DFT.

Formation energy in eV/f.u.: -4.09
E_tot in eV per atom: -3.567
Space-group type: P4/mbm
Calculated volume in Å³/cell: 481

Unit cell a=4.473 b=10.370 c=10.370 alpha=90.00 beta=90.00 gamma=90.00
Fractional positions:
In (0.500, 0.929, 0.212)
In (0.500, 0.212, 0.071)
Sm (0.000, 0.676, 0.176)
In (0.500, 0.788, 0.929)
In (0.500, 0.288, 0.571)
In (0.500, 0.712, 0.429)
Sm (0.000, 0.824, 0.676)
Sm (0.000, 0.176, 0.324)
In (0.500, 0.500, 0.000)
Li (0.000, 0.118, 0.618)
In (0.500, 0.000, 0.500)
Sm (0.000, 0.324, 0.824)
Li (0.000, 0.618, 0.882)
In (0.500, 0.071, 0.788)
Li (0.000, 0.882, 0.382)
Tb (0.000, 0.500, 0.500)
Tb (0.000, 0.000, 0.000)
In (0.500, 0.571, 0.712)
In (0.500, 0.429, 0.288)
Li (0.000, 0.382, 0.118)


Entry 6:
Computed, not measured: crystalline LiTb2SmIn4 at its relaxed geometry at the PBE level of DFT.

Formation energy in eV/f.u.: -3.41
E_tot in eV per atom: -3.782
Space-group type: R-3m
Calculated volume in Å³/cell: 209

Unit cell a=5.237 b=5.237 c=9.289 alpha=73.63 beta=73.63 gamma=60.00
Fractional positions:
In (0.378, 0.378, 0.867)
In (0.622, 0.622, 0.133)
In (0.873, 0.873, 0.380)
Sm (0.000, 0.000, 0.000)
Li (0.500, 0.500, 0.500)
Tb (0.754, 0.754, 0.737)
In (0.127, 0.127, 0.620)
Tb (0.246, 0.246, 0.263)


Entry 7:
Computed, not measured: crystalline LiTbSm2In4 at its relaxed geometry at the PBE level of DFT.

Formation energy in eV/f.u.: -3.45
E_tot in eV per atom: -3.799
Space-group type: R-3m
Calculated volume in Å³/cell: 211

Unit cell a=5.259 b=5.259 c=9.319 alpha=73.61 beta=73.61 gamma=60.00
Fractional positions:
In (0.874, 0.874, 0.377)
In (0.376, 0.376, 0.872)
Tb (0.000, 0.000, 0.000)
Sm (0.245, 0.245, 0.265)
In (0.624, 0.624, 0.128)
Li (0.500, 0.500, 0.500)
In (0.126, 0.126, 0.623)
Sm (0.755, 0.755, 0.735)


Entry 8:
Computed, not measured: crystalline Li2TbSm2In2 at its relaxed geometry at the PBE level of DFT.

Formation energy in eV/f.u.: -1.65
E_tot in eV per atom: -3.575
Space-group type: R-3m
Calculated volume in Å³/cell: 184

Unit cell a=4.888 b=4.888 c=9.327 alpha=74.81 beta=74.81 gamma=60.00
Fractional positions:
Sm (0.873, 0.873, 0.381)
Tb (0.000, 0.000, 0.000)
Sm (0.127, 0.127, 0.619)
In (0.265, 0.265, 0.206)
In (0.735, 0.735, 0.794)
Li (0.392, 0.392, 0.824)
Li (0.608, 0.608, 0.176)


Entry 9:
Computed, not measured: crystalline Li2Sm2ThIn2 at its relaxed geometry at the PBE level of DFT.

Formation energy in eV/f.u.: -1.24
E_tot in eV per atom: -3.914
Space-group type: R-3m
Calculated volume in Å³/cell: 187

Unit cell a=4.928 b=4.928 c=9.332 alpha=74.69 beta=74.69 gamma=60.00
Fractional positions:
Sm (0.128, 0.128, 0.615)
In (0.736, 0.736, 0.792)
Sm (0.872, 0.872, 0.385)
Li (0.601, 0.601, 0.198)
Li (0.399, 0.399, 0.802)
In (0.264, 0.264, 0.208)
Th (0.000, 0.000, 0.000)


Entry 10:
Computed, not measured: crystalline LiSmTm2In4 at its relaxed geometry at the PBE level of DFT.

Formation energy in eV/f.u.: -3.21
E_tot in eV per atom: -3.718
Space-group type: R-3m
Calculated volume in Å³/cell: 203

Unit cell a=5.194 b=5.194 c=9.194 alpha=73.59 beta=73.59 gamma=60.00
Fractional positions:
Tm (0.753, 0.753, 0.741)
Li (0.500, 0.500, 0.500)
In (0.621, 0.621, 0.137)
In (0.379, 0.379, 0.863)
Sm (0.000, 0.000, 0.000)
Tm (0.247, 0.247, 0.259)
In (0.128, 0.128, 0.617)
In (0.872, 0.872, 0.383)


Entry 11:
Computed, not measured: crystalline LiSmTmIn at its relaxed geometry at the PBE level of DFT.

Formation energy in eV/f.u.: -1.03
E_tot in eV per atom: -3.718
Space-group type: F-43m
Calculated volume in Å³/cell: 105

Unit cell a=5.294 b=5.294 c=5.294 alpha=60.00 beta=60.00 gamma=60.00
Fractional positions:
Tm (0.750, 0.750, 0.750)
In (0.000, 0.000, 0.000)
Li (0.500, 0.500, 0.500)
Sm (0.250, 0.250, 0.250)


Entry 12:
Computed, not measured: crystalline Li2Sm2TmIn2 at its relaxed geometry at the PBE level of DFT.

Formation energy in eV/f.u.: -1.58
E_tot in eV per atom: -3.542
Space-group type: R-3m
Calculated volume in Å³/cell: 182

Unit cell a=4.851 b=4.851 c=9.351 alpha=74.97 beta=74.97 gamma=60.00
Fractional positions:
In (0.735, 0.735, 0.796)
Sm (0.873, 0.873, 0.380)
Li (0.390, 0.390, 0.831)
Tm (0.000, 0.000, 0.000)
Sm (0.127, 0.127, 0.620)
Li (0.610, 0.610, 0.169)
In (0.265, 0.265, 0.204)